No. 1
# La2PmNbN4 | Alexandria via LeMat-Bulk | PBE-GGA | optimized geometry
data_La2PmNbN4
_chemical_formula_sum 'La8 Pm4 Nb4 N16'
_cell_length_a 3.490
_cell_length_b 12.221
_cell_length_c 12.942
_cell_angle_alpha 90.00
_cell_angle_beta 90.00
_cell_angle_gamma 90.00
_symmetry_space_group_name_H-M 'C m c m'
_symmetry_Int_Tables_number 63
_symmetry_space_group_name_Hall '-C 2c 2'
loop_
_atom_site_label
_atom_site_type_symbol
_atom_site_fract_x
_atom_site_fract_y
_atom_site_fract_z
La1 La 0.000 0.133 0.033
Pm1 Pm 0.000 0.396 0.250
Nb1 Nb 0.000 0.338 0.750
N1 N 0.000 0.059 0.250
N2 N 0.000 0.231 0.638
N3 N 0.000 0.500 0.000
# E = -8.32 eV per atom
# density of states at the Fermi level = 3.3 states/eV/f.u.
# volume = 17.248 A^3/atom
# ΔE_f (raw) = -103.65 kJ/mol of atoms



No. 2
# LaPmNbN3 | Alexandria via LeMat-Bulk | PBE-GGA | optimized geometry
data_LaPmNbN3
_chemical_formula_sum 'La2 Pm2 Nb2 N6'
_cell_length_a 7.749
_cell_length_b 3.579
_cell_length_c 7.941
_cell_angle_alpha 90.00
_cell_angle_beta 94.33
_cell_angle_gamma 90.00
_symmetry_space_group_name_H-M 'P 1 21/m 1'
_symmetry_Int_Tables_number 11
loop_
_symmetry_equiv_pos_as_xyz
'x,y,z'
'-x,-y,-z'
'-x,y+1/2,-z'
'x,-y+1/2,z'
loop_
_atom_site_label
_atom_site_type_symbol
_atom_site_fract_x
_atom_site_fract_y
_atom_site_fract_z
La1 La 0.164 0.250 0.162
Pm1 Pm 0.388 0.750 0.836
Nb1 Nb 0.111 0.250 0.591
N1 N 0.125 0.250 0.841
N2 N 0.166 0.750 0.478
N3 N 0.387 0.750 0.126
# E = -8.50 eV per atom
# density of states at the Fermi level = 2.5 states/eV/f.u.
# volume = 18.300 A^3/atom
# ΔE_f (raw) = -100.83 kJ/mol of atoms



Q: Among the records above, which one has the highest E?
A: La2PmNbN4



Q: Number 1 is which compound?
A: La2PmNbN4



Q: Among the records above, which one has the highest ΔE_f (raw)?
A: LaPmNbN3